Record 1
# PBE HfFeCu2, optimized geometry
# Energy relative to the elements ... 0.3021 eV per atom
# Total moment ... 0.497 μB/f.u.
# Energy ... -0.2334 Ha/atom
data_HfFeCu2
_cell_length_a 3.549
_cell_length_b 3.549
_cell_length_c 18.772
_cell_angle_alpha 90.00
_cell_angle_beta 90.00
_cell_angle_gamma 90.00
_symmetry_space_group_name_H-M 'I -4 2 d'
_symmetry_Int_Tables_number 122
_symmetry_space_group_name_Hall 'I -4 2bw'
loop_
_atom_site_label
_atom_site_fract_x
_atom_site_fract_y
_atom_site_fract_z
_atom_site_occupancy
Hf1 0.000 0.000 0.000 1
Fe1 0.000 0.000 0.500 1
Cu1 0.226 0.250 0.625 1

***

Record 2
# PBE Zr2ScAlRu4, optimized geometry
# Energy relative to the elements ... -0.6530 eV per atom
# Total moment ... 0.000 μB/f.u.
# Energy ... -0.3192 Ha/atom
data_Zr2ScAlRu4
_cell_length_a 4.5246
_cell_length_b 4.5246
_cell_length_c 22.0845
_cell_angle_alpha 90.00
_cell_angle_beta 90.00
_cell_angle_gamma 120.00
_symmetry_space_group_name_H-M 'R -3 m'
_symmetry_Int_Tables_number 166
_symmetry_space_group_name_Hall '-R 3 2"'
loop_
_atom_site_label
_atom_site_fract_x
_atom_site_fract_y
_atom_site_fract_z
_atom_site_occupancy
Zr1 0.0000 0.0000 0.2466 1
Sc1 0.0000 0.0000 0.0000 1
Al1 0.0000 0.0000 0.5000 1
Ru1 0.0000 0.0000 0.1258 1
Ru2 0.0000 0.0000 0.3771 1

***

Record 3
# PBE RbSm2AuS4, optimized geometry
# Total moment ... 0.000 μB/f.u.
# Energy ... -0.1953 Ha/atom
# Uncorrected formation energy ... -1540 meV per atom
data_RbSm2AuS4
_cell_length_a 4.126
_cell_length_b 14.026
_cell_length_c 14.326
_cell_angle_alpha 90.00
_cell_angle_beta 90.00
_cell_angle_gamma 90.00
_symmetry_space_group_name_H-M 'C m c m'
_symmetry_Int_Tables_number 63
_symmetry_space_group_name_Hall '-C 2c 2'
loop_
_atom_site_label
_atom_site_fract_x
_atom_site_fract_y
_atom_site_fract_z
_atom_site_occupancy
Rb1 0.000 0.117 0.250 1
Sm1 0.000 0.368 0.066 1
Au1 0.000 0.158 0.750 1
S1 0.000 0.000 0.000 1
S2 0.000 0.261 0.603 1
S3 0.000 0.442 0.250 1

***

Record 4
# PBE CaPtRh, optimized geometry
# Energy relative to the elements ... -0.7272 eV per atom
# Total moment ... 0.000 μB/f.u.
# Energy ... -0.2153 Ha/atom
data_CaPtRh
_cell_length_a 5.372
_cell_length_b 5.417
_cell_length_c 7.640
_cell_angle_alpha 90.00
_cell_angle_beta 90.00
_cell_angle_gamma 90.00
_symmetry_space_group_name_H-M 'I m m a'
_symmetry_Int_Tables_number 74
_symmetry_space_group_name_Hall '-I 2b 2'
loop_
_atom_site_label
_atom_site_fract_x
_atom_site_fract_y
_atom_site_fract_z
_atom_site_occupancy
Ca1 0.000 0.250 0.124 1
Pt1 0.000 0.000 0.500 1
Rh1 0.250 0.250 0.750 1

***

Question: Look up the energy of the third one.
Answer: -0.1953 Ha/atom